Density functional theory data (PBE) for crystalline ZnIn3Br at its relaxed geometry.

Lattice parameters (Å, degrees): 5.9805 5.9805 5.9805 90.00 90.00 90.00
With the nearest neighbours (Å) after each atom.
Sites, in units of the cell vectors:
1 Zn 0.0000 0.0000 0.0000  12 In 4.23
2 In 0.0000 0.5000 0.5000  2 Br 2.99
3 In 0.5000 0.0000 0.5000  2 Br 2.99
4 In 0.5000 0.5000 0.0000  2 Br 2.99
5 Br 0.5000 0.5000 0.5000  6 In 2.99

Values from the calculation:
- Crystal system: cubic
- Energy relative to the elements, uncorrected: 0.383 eV/atom
- Space group: Pm-3m, No. 221



Density functional theory data (PBE) for crystalline BaP2IrOs at its relaxed geometry.

Lattice parameters (Å, degrees): 4.5444 4.5444 6.3076 90.00 90.00 90.00
With the nearest neighbours (Å) after each atom.
Sites, in units of the cell vectors:
1 Ba 0.0000 0.0000 0.0000  2 Ir 3.15, 4 Os 3.21
2 P 0.0000 0.5000 0.5000  2 Ir 2.27
3 P 0.5000 0.0000 0.5000  2 Ir 2.27
4 Ir 0.0000 0.0000 0.5000  4 P 2.27
5 Os 0.5000 0.5000 0.0000  4 Ba 3.21

Values from the calculation:
- Crystal system: tetragonal
- Formation enthalpy at 0 K: 5.4 eV/f.u.
- Space group: P4/mmm, No. 123



Density functional theory data (PBE) for crystalline CaGa2AgI5 at its relaxed geometry.

Lattice parameters (Å, degrees): 10.1737 10.1737 15.2054 90.00 90.00 154.31
With the nearest neighbours (Å) after each atom.
Sites, in units of the cell vectors:
1 Ca 0.2084 0.7916 0.5000  6 I 3.14-3.16
2 Ca 0.7916 0.2084 0.0000  6 I 3.14-3.16
3 Ga 0.1016 0.8984 0.1181  4 I 3.17-3.54
4 Ga 0.1139 0.8861 0.7851  2 I 3.18
5 Ga 0.8861 0.1139 0.2851  2 I 3.18
6 Ga 0.8984 0.1016 0.6181  4 I 3.17-3.54
7 Ag 0.4356 0.5644 0.9029  4 I 2.81-2.89
8 Ag 0.5644 0.4356 0.4029  4 I 2.81-2.89
9 I 0.0495 0.9505 0.5165  2 Ag 2.86, 1 Ca 3.16
10 I 0.2792 0.7208 0.1432  2 Ca 3.15
11 I 0.2941 0.7059 0.8564  1 Ag 2.89, 2 Ca 3.14
12 I 0.3667 0.6333 0.4784  1 Ca 3.16, 2 Ga 3.17
13 I 0.4938 0.5062 0.2430  1 Ag 2.81
14 I 0.5062 0.4938 0.7430  1 Ag 2.81
15 I 0.6333 0.3667 0.9784  1 Ca 3.16, 2 Ga 3.17
16 I 0.7059 0.2941 0.3564  1 Ag 2.89, 2 Ca 3.14
17 I 0.7208 0.2792 0.6432  2 Ca 3.15
18 I 0.9505 0.0495 0.0165  2 Ag 2.86, 1 Ca 3.16

Values from the calculation:
- Crystal system: orthorhombic
- Energy relative to the elements, uncorrected: -0.723 eV/atom
- Space group: Cmc2_1, No. 36



Density functional theory data (PBE) for crystalline BaMoBr at its relaxed geometry.

Lattice parameters (Å, degrees): 7.1452 7.1452 7.1452 149.47 149.47 43.72
With the nearest neighbours (Å) after each atom.
Sites, in units of the cell vectors:
1 Ba 0.0000 0.0000 0.0000  4 Br 3.45, 4 Mo 3.57, 4 Ba 3.76
2 Mo 0.6791 0.6791 0.0000  4 Br 3.36, 4 Ba 3.57, 4 Mo 3.76
3 Br 0.3340 0.3340 0.0000  4 Mo 3.36, 4 Ba 3.45, 4 Br 3.76

Values from the calculation:
- Crystal system: tetragonal
- Energy relative to the elements, uncorrected: 0.567 eV/atom
- Space group: I4mm, No. 107



Density functional theory data (PBE) for crystalline KRb2CaBr5 at its relaxed geometry.

Lattice parameters (Å, degrees): 9.6435 9.6435 9.6435 146.48 130.71 60.93
With the nearest neighbours (Å) after each atom.
Sites, in units of the cell vectors:
1 K 0.0000 0.0000 0.0000  10 Br 4.01-4.02
2 Rb 0.2935 0.7935 0.5000  7 Br 3.43-3.69
3 Rb 0.7065 0.2065 0.5000  7 Br 3.43-3.69
4 Ca 0.5000 0.5000 0.0000  6 Br 2.78-2.91
5 Br 0.1227 0.3743 0.7484  1 Ca 2.91
6 Br 0.3741 0.6257 0.7484  1 Ca 2.91
7 Br 0.5000 0.0000 0.5000  2 Ca 2.78
8 Br 0.6259 0.3743 0.2516  1 Ca 2.91
9 Br 0.8773 0.6257 0.2516  1 Ca 2.91

Values from the calculation:
- Crystal system: orthorhombic
- Energy relative to the elements, uncorrected: -1.808 eV/atom
- Space group: Immm, No. 71



Density functional theory data (PBE) for crystalline Pu4Ag2O at its relaxed geometry.

Lattice parameters (Å, degrees): 8.6564 8.6564 8.6564 148.59 148.59 45.01
With the nearest neighbours (Å) after each atom.
Sites, in units of the cell vectors:
1 Pu 0.0000 0.5000 0.5000  2 O 2.34
2 Pu 0.1751 0.1751 0.0000  1 O 2.80, 1 Ag 3.03
3 Pu 0.5000 0.0000 0.5000  2 O 2.34
4 Pu 0.8249 0.8249 0.0000  1 O 2.80, 1 Ag 3.03
5 Ag 0.3645 0.3645 0.0000  9 Pu 3.03-3.37
6 Ag 0.6355 0.6355 0.0000  9 Pu 3.03-3.37
7 O 0.0000 0.0000 0.0000  4 Pu 2.34

Values from the calculation:
- Crystal system: tetragonal
- Energy relative to the elements, uncorrected: -0.470 eV/atom
- Space group: I4/mmm, No. 139



Density functional theory data (PBE) for crystalline AcHoSc2 at its relaxed geometry.

Lattice parameters (Å, degrees): 5.2382 5.2382 4.4235 90.00 90.00 90.00
With the nearest neighbours (Å) after each atom.
Sites, in units of the cell vectors:
1 Ac 0.0000 0.0000 0.0000  8 Sc 3.43, 4 Ho 3.70
2 Ho 0.5000 0.5000 0.0000  8 Sc 3.43, 4 Ac 3.70
3 Sc 0.0000 0.5000 0.5000  4 Ho 3.43, 4 Ac 3.43, 4 Sc 3.70
4 Sc 0.5000 0.0000 0.5000  4 Ho 3.43, 4 Ac 3.43, 4 Sc 3.70

Values from the calculation:
- Crystal system: tetragonal
- Formation enthalpy at 0 K: 0.4 eV/f.u.
- Space group: P4/mmm, No. 123



Density functional theory data (PBE) for crystalline Na4SrGe2 at its relaxed geometry.

Lattice parameters (Å, degrees): 9.9136 9.9136 4.6388 90.00 90.00 152.88
With the nearest neighbours (Å) after each atom.
Sites, in units of the cell vectors:
1 Na 0.1682 0.8318 0.0000  2 Ge 3.09, 4 Na 3.28
2 Na 0.3310 0.6690 0.5000  2 Ge 3.10, 4 Na 3.28
3 Na 0.6690 0.3310 0.5000  2 Ge 3.10, 4 Na 3.28
4 Na 0.8318 0.1682 0.0000  2 Ge 3.09, 4 Na 3.28
5 Sr 0.0000 0.0000 0.5000  8 Ge 3.50
6 Ge 0.4376 0.5624 0.0000  1 Ge 2.41
7 Ge 0.5624 0.4376 0.0000  1 Ge 2.41

Values from the calculation:
- Crystal system: orthorhombic
- Formation enthalpy at 0 K: -1.3 eV/f.u.
- Space group: Cmmm, No. 65